# 1
DFT (PBE) results for a relaxed SmUTeN2 crystal.

Summary:
Formation energy without anion corrections, eV per atom: -1.47
E, eV per atom: -8.632
Volume, Å³/atom: 19.86

a = 3.938 Å, b = 3.938 Å, c = 12.801 Å
α = 90.00°, β = 90.00°, γ = 90.00°
Space group I4mm (No. 107)
Inequivalent atoms, fractional coordinates:
Sm (0.000, 0.000, 0.000) [2 per cell]
U (0.000, 0.000, 0.325) [2 per cell]
Te (0.000, 0.000, 0.664) [2 per cell]
N (0.000, 0.500, 0.398) [4 per cell]

---

# 2
DFT (PBE) results for a relaxed Al2ZnSe crystal.

Summary:
Formation energy without anion corrections, eV per atom: 0.19
E, eV per atom: -2.872
Energy above the most stable polymorph in this dataset, eV/atom: 0.3115
Volume, Å³/atom: 18.47

a = 6.661 Å, b = 6.661 Å, c = 6.661 Å
α = 90.00°, β = 90.00°, γ = 90.00°
Space group Fm-3m (No. 225)
Inequivalent atoms, fractional coordinates:
Al (0.250, 0.250, 0.250) [8 per cell]
Zn (0.000, 0.000, 0.000) [4 per cell]
Se (0.000, 0.000, 0.500) [4 per cell]

---

# 3
DFT (PBE) results for a relaxed AcSb2C crystal.

Summary:
Formation energy without anion corrections, eV per atom: 0.55
E, eV per atom: -4.842
Volume, Å³/atom: 25.75

a = 4.172 Å, b = 4.172 Å, c = 5.917 Å
α = 90.00°, β = 90.00°, γ = 90.00°
Space group P4/mmm (No. 123)
Inequivalent atoms, fractional coordinates:
Ac (0.000, 0.000, 0.000) [1 per cell]
Sb (0.000, 0.500, 0.500) [2 per cell]
C (0.500, 0.500, 0.000) [1 per cell]

---

# 4
DFT (PBE) results for a relaxed KNbCd crystal.

Summary:
E, eV per atom: -3.416
Energy above the most stable polymorph in this dataset, eV/atom: 0.3710
Energy of formation from the pure elements, eV per atom: 0.611
Volume, Å³/atom: 31.39

a = 3.768 Å, b = 3.768 Å, c = 13.269 Å
α = 90.00°, β = 90.00°, γ = 90.00°
Space group P4/nmm (No. 129, origin choice 2)
Inequivalent atoms, fractional coordinates:
K (0.250, 0.250, 0.247) [2 per cell]
Nb (0.250, 0.250, 0.967) [2 per cell]
Cd (0.250, 0.750, 0.500) [2 per cell]

---

# 5
DFT (PBE) results for a relaxed Na3NpU3S8 crystal.

Summary:
Formation energy without anion corrections, eV per atom: -1.37
E, eV per atom: -6.951
Volume, Å³/atom: 24.60

a = 7.9536 Å, b = 7.9536 Å, c = 20.2041 Å
α = 90.00°, β = 90.00°, γ = 120.00°
Space group R-3m (No. 166, hexagonal axes)
Inequivalent atoms, fractional coordinates:
Na (0.0000, 0.5000, 0.0000) [9 per cell]
Np (0.0000, 0.0000, 0.5000) [3 per cell]
U (0.0000, 0.5000, 0.5000) [9 per cell]
S (0.0000, 0.0000, 0.2435) [6 per cell]
S (0.0013, 0.5006, 0.7593) [18 per cell]

---

# 6
DFT (PBE) results for a relaxed TiCr2B4 crystal.

Summary:
E, eV per atom: -8.397
Energy of formation from the pure elements, eV per atom: -0.704
Volume, Å³/atom: 8.44

a = 2.979 Å, b = 3.040 Å, c = 13.049 Å
α = 90.00°, β = 90.00°, γ = 90.00°
Space group Immm (No. 71)
Inequivalent atoms, fractional coordinates:
Ti (0.000, 0.000, 0.000) [2 per cell]
Cr (0.000, 0.500, 0.312) [4 per cell]
B (0.000, 0.000, 0.431) [4 per cell]
B (0.000, 0.500, 0.140) [4 per cell]

---

# 7
DFT (PBE) results for a relaxed K2LaNb crystal.

Summary:
E, eV per atom: -2.898
Energy above the most stable polymorph in this dataset, eV/atom: 0.3226
Energy of formation from the pure elements, eV per atom: 1.400
Volume, Å³/atom: 38.64

a = 8.519 Å, b = 8.519 Å, c = 8.519 Å
α = 90.00°, β = 90.00°, γ = 90.00°
Space group Fm-3m (No. 225)
Inequivalent atoms, fractional coordinates:
K (0.250, 0.250, 0.250) [8 per cell]
La (0.000, 0.000, 0.000) [4 per cell]
Nb (0.000, 0.000, 0.500) [4 per cell]

---

# 8
DFT (PBE) results for a relaxed Ba2CuAsW crystal.

Summary:
E, eV per atom: -4.591
Energy of formation from the pure elements, eV per atom: 0.518
Volume, Å³/atom: 36.00

a = 6.125 Å, b = 6.125 Å, c = 4.798 Å
α = 90.00°, β = 90.00°, γ = 90.00°
Space group P4/mmm (No. 123)
Inequivalent atoms, fractional coordinates:
Ba (0.000, 0.500, 0.000) [2 per cell]
Cu (0.000, 0.000, 0.500) [1 per cell]
As (0.500, 0.500, 0.500) [1 per cell]
W (0.500, 0.500, 0.000) [1 per cell]

---

# 9
DFT (PBE) results for a relaxed Tb2AlZn3Cu4 crystal.

Summary:
E, eV per atom: -3.599
Energy of formation from the pure elements, eV per atom: -0.278
Volume, Å³/atom: 17.25

a = 3.950 Å, b = 3.950 Å, c = 11.054 Å
α = 90.00°, β = 90.00°, γ = 90.00°
Space group P-4m2 (No. 115)
Inequivalent atoms, fractional coordinates:
Tb (0.000, 0.500, 0.250) [2 per cell]
Al (0.000, 0.000, 0.500) [1 per cell]
Zn (0.000, 0.500, 0.864) [2 per cell]
Zn (0.500, 0.500, 0.500) [1 per cell]
Cu (0.000, 0.000, 0.000) [1 per cell]
Cu (0.000, 0.500, 0.642) [2 per cell]
Cu (0.500, 0.500, 0.000) [1 per cell]

---

# 10
DFT (PBE) results for a relaxed CaMnPt crystal.

Summary:
E, eV per atom: -6.007
Energy of formation from the pure elements, eV per atom: -0.270
Volume, Å³/atom: 20.86

a = 3.475 Å, b = 3.475 Å, c = 10.363 Å
α = 90.00°, β = 90.00°, γ = 90.00°
Space group I4mm (No. 107)
Inequivalent atoms, fractional coordinates:
Ca (0.000, 0.000, 0.000) [2 per cell]
Mn (0.000, 0.000, 0.714) [2 per cell]
Pt (0.000, 0.000, 0.309) [2 per cell]

---

# 11
DFT (PBE) results for a relaxed Ca2TaInO6 crystal.

Summary:
Formation energy without anion corrections, eV per atom: -2.70
E, eV per atom: -7.531
Volume, Å³/atom: 12.88

a = 5.572 Å, b = 5.774 Å, c = 9.740 Å
α = 90.00°, β = 124.71°, γ = 90.00°
Space group P2_1/c (No. 14)
Inequivalent atoms, fractional coordinates:
Ca (0.232, 0.054, 0.247) [4 per cell]
Ta (0.500, 0.000, 0.000) [2 per cell]
In (0.000, 0.000, 0.500) [2 per cell]
O (0.157, 0.190, 0.949) [4 per cell]
O (0.253, 0.714, 0.939) [4 per cell]
O (0.369, 0.042, 0.762) [4 per cell]

---

Copy entry 6 word for word.
DFT (PBE) results for a relaxed TiCr2B4 crystal.

Summary:
E, eV per atom: -8.397
Energy of formation from the pure elements, eV per atom: -0.704
Volume, Å³/atom: 8.44

a = 2.979 Å, b = 3.040 Å, c = 13.049 Å
α = 90.00°, β = 90.00°, γ = 90.00°
Space group Immm (No. 71)
Inequivalent atoms, fractional coordinates:
Ti (0.000, 0.000, 0.000) [2 per cell]
Cr (0.000, 0.500, 0.312) [4 per cell]
B (0.000, 0.000, 0.431) [4 per cell]
B (0.000, 0.500, 0.140) [4 per cell]

---

> Look up the E of the sixth one.

-8.397 eV per atom

---

Repeat the sixth record exactly.
DFT (PBE) results for a relaxed TiCr2B4 crystal.

Summary:
E, eV per atom: -8.397
Energy of formation from the pure elements, eV per atom: -0.704
Volume, Å³/atom: 8.44

a = 2.979 Å, b = 3.040 Å, c = 13.049 Å
α = 90.00°, β = 90.00°, γ = 90.00°
Space group Immm (No. 71)
Inequivalent atoms, fractional coordinates:
Ti (0.000, 0.000, 0.000) [2 per cell]
Cr (0.000, 0.500, 0.312) [4 per cell]
B (0.000, 0.000, 0.431) [4 per cell]
B (0.000, 0.500, 0.140) [4 per cell]